! BaSICl2 | Alexandria | SCAN | PBEsol geometry; values from VASP
&SYSTEM
  ibrav = 0, nat = 5, ntyp = 4
/
ATOMIC_SPECIES
Ba 137.33 Ba.upf
S 32.06 S.upf
Cl 35.45 Cl.upf
I 126.90 I.upf
CELL_PARAMETERS angstrom
5.3023 0.0000 0.0000
0.0000 5.5265 0.0000
0.0000 0.0000 5.5265
ATOMIC_POSITIONS angstrom
Ba 2.6511 2.7633 2.7633
S 2.6511 0.0000 0.0000
Cl 0.0000 0.0000 2.7633
I 0.0000 0.0000 0.0000
Cl 0.0000 2.7633 0.0000
! - formation energy without anion corrections (eV per atom) = -0.85
! - VASP energy (eV per atom) = -21.229
! - D(E_F) (states/eV per cell) = 1.0
! - M_tot (μB per cell) = 0.0
! - space-group type = No. 123